## PrEu2Tm (PBE)

Data for a geometry-optimized PrEu2Tm structure.

Cell lengths 12.4313, 12.4313, 12.4313 Å; angles 17.09, 17.09, 17.09 degrees
Atoms (fractional coordinates):
Pr 0.0000 0.0000 0.0000
Eu 0.2477 0.2477 0.2477
Eu 0.7523 0.7523 0.7523
Tm 0.5000 0.5000 0.5000

Properties
- Fermi-level density of states (states/eV per atom) = 1.36
- volume (Å³ per atom) = 36.180
- DFT total energy (eV per atom) = -7.355
- energy of formation (kJ per mole of atoms) = 9


## ScPbAuS2 (PBE)

Data for a geometry-optimized ScPbAuS2 structure.

Cell lengths 4.7431, 4.7431, 6.3747 Å; angles 90.00, 90.00, 90.00 degrees
Atoms (fractional coordinates):
Sc 0.0000 0.0000 0.0000
Pb 0.0000 0.0000 0.5000
Au 0.5000 0.5000 0.5000
S 0.0000 0.5000 0.0000
S 0.5000 0.0000 0.0000

Properties
- Fermi-level density of states (states/eV per atom) = 0.95
- volume (Å³ per atom) = 28.682
- DFT total energy (eV per atom) = -4.449
- ΔE_f (raw) (eV/atom) = -0.135